No. 1
Material: Er3Be2Ir5
Method: DFT, PBE-GGA
State: relaxed

Summary:
ΔE_f: -7.99 eV per formula unit
DOS at the Fermi energy: 10.14 states/eV/cell

CIF file:
```
data_Er3Be2Ir5
_chemical_formula_sum 'Er6 Be4 Ir10'
_symmetry_space_group_name_H-M 'P 4/m b m'
_symmetry_Int_Tables_number 127
_symmetry_space_group_name_Hall '-P 4 2ab'
_cell_length_a 9.796
_cell_length_b 9.796
_cell_length_c 3.361
_cell_angle_alpha 90.00
_cell_angle_beta 90.00
_cell_angle_gamma 90.00
loop_
_atom_site_label
_atom_site_type_symbol
_atom_site_fract_x
_atom_site_fract_y
_atom_site_fract_z
_atom_site_occupancy
Er1 Er 0.000 0.000 0.000 1
Er2 Er 0.176 0.324 0.000 1
Be1 Be 0.119 0.619 0.000 1
Ir1 Ir 0.000 0.500 0.500 1
Ir2 Ir 0.070 0.777 0.500 1
```



No. 2
Material: ErBeIr
Method: DFT, PBE-GGA
State: relaxed

Summary:
ΔE_f: -2.07 eV per formula unit
energy above the lowest structure with this stoichiometry: 0 meV per atom
DOS at the Fermi energy: 5.39 states/eV/cell

CIF file:
```
data_ErBeIr
_chemical_formula_sum 'Er4 Be4 Ir4'
_symmetry_space_group_name_H-M 'P n m a'
_symmetry_Int_Tables_number 62
_symmetry_space_group_name_Hall '-P 2ac 2n'
_cell_length_a 6.728
_cell_length_b 4.087
_cell_length_c 7.207
_cell_angle_alpha 90.00
_cell_angle_beta 90.00
_cell_angle_gamma 90.00
loop_
_atom_site_label
_atom_site_type_symbol
_atom_site_fract_x
_atom_site_fract_y
_atom_site_fract_z
_atom_site_occupancy
Er1 Er 0.000 0.250 0.193 1
Be1 Be 0.180 0.250 0.593 1
Ir1 Ir 0.182 0.750 0.426 1
```



No. 3
Material: Er3BeIr3
Method: DFT, PBE-GGA
State: relaxed

Summary:
ΔE_f: -5.39 eV per formula unit
DOS at the Fermi energy: 12.30 states/eV/cell

CIF file:
```
data_Er3BeIr3
_chemical_formula_sum 'Er12 Be4 Ir12'
_symmetry_space_group_name_H-M 'C 1 2/m 1'
_symmetry_Int_Tables_number 12
_symmetry_space_group_name_Hall '-C 2y'
_cell_length_a 10.311
_cell_length_b 4.027
_cell_length_c 13.913
_cell_angle_alpha 90.00
_cell_angle_beta 110.64
_cell_angle_gamma 90.00
loop_
_atom_site_label
_atom_site_type_symbol
_atom_site_fract_x
_atom_site_fract_y
_atom_site_fract_z
_atom_site_occupancy
Er1 Er 0.027 0.000 0.385 1
Er2 Er 0.109 0.000 0.923 1
Er3 Er 0.247 0.000 0.232 1
Be1 Be 0.236 0.500 0.400 1
Ir1 Ir 0.039 0.500 0.244 1
Ir2 Ir 0.118 0.500 0.082 1
Ir3 Ir 0.158 0.500 0.540 1
```



No. 4
Material: ErBeIr
Method: DFT, PBE-GGA
State: relaxed

Summary:
ΔE_f: -0.90 eV per formula unit
energy above the lowest structure with this stoichiometry: 390 meV per atom
DOS at the Fermi energy: 4.69 states/eV/cell

CIF file:
```
data_ErBeIr
_chemical_formula_sum 'Er4 Be4 Ir4'
_symmetry_space_group_name_H-M 'P 41 21 2'
_symmetry_Int_Tables_number 92
_symmetry_space_group_name_Hall 'P 4abw 2nw'
_cell_length_a 6.510
_cell_length_b 6.510
_cell_length_c 5.519
_cell_angle_alpha 90.00
_cell_angle_beta 90.00
_cell_angle_gamma 90.00
loop_
_atom_site_label
_atom_site_type_symbol
_atom_site_fract_x
_atom_site_fract_y
_atom_site_fract_z
_atom_site_occupancy
Er1 Er 0.218 0.218 0.000 1
Be1 Be 0.093 0.093 0.500 1
Ir1 Ir 0.161 0.839 0.750 1
```



No. 5
Material: ErBeIr
Method: DFT, PBE-GGA
State: relaxed

Summary:
ΔE_f: -2.06 eV per formula unit
energy above the lowest structure with this stoichiometry: 4 meV per atom
DOS at the Fermi energy: 1.03 states/eV/cell

CIF file:
```
data_ErBeIr
_chemical_formula_sum 'Er1 Be1 Ir1'
_symmetry_space_group_name_H-M 'P -6 m 2'
_symmetry_Int_Tables_number 187
_symmetry_space_group_name_Hall 'P -6 2'
_cell_length_a 3.9084
_cell_length_b 3.9084
_cell_length_c 3.9396
_cell_angle_alpha 90.00
_cell_angle_beta 90.00
_cell_angle_gamma 120.00
loop_
_atom_site_label
_atom_site_type_symbol
_atom_site_fract_x
_atom_site_fract_y
_atom_site_fract_z
_atom_site_occupancy
Er1 Er 0.0000 0.0000 0.0000 1
Be1 Be 0.3333 0.6667 0.5000 1
Ir1 Ir 0.6667 0.3333 0.5000 1
```



No. 6
Material: Er2BeIr2
Method: DFT, PBE-GGA
State: relaxed

Summary:
ΔE_f: -3.95 eV per formula unit
DOS at the Fermi energy: 8.93 states/eV/cell

CIF file:
```
data_Er2BeIr2
_chemical_formula_sum 'Er8 Be4 Ir8'
_symmetry_space_group_name_H-M 'C 1 2/c 1'
_symmetry_Int_Tables_number 15
_symmetry_space_group_name_Hall '-C 2yc'
_cell_length_a 10.024
_cell_length_b 5.389
_cell_length_c 7.122
_cell_angle_alpha 90.00
_cell_angle_beta 102.84
_cell_angle_gamma 90.00
loop_
_atom_site_label
_atom_site_type_symbol
_atom_site_fract_x
_atom_site_fract_y
_atom_site_fract_z
_atom_site_occupancy
Er1 Er 0.146 0.136 0.146 1
Be1 Be 0.000 0.405 0.750 1
Ir1 Ir 0.129 0.366 0.511 1
```



No. 7
Material: ErBe9Ir2
Method: DFT, PBE-GGA
State: relaxed

Summary:
ΔE_f: -4.54 eV per formula unit
DOS at the Fermi energy: 8.56 states/eV/cell

CIF file:
```
data_ErBe9Ir2
_chemical_formula_sum 'Er2 Be18 Ir4'
_symmetry_space_group_name_H-M 'P 63/m m c'
_symmetry_Int_Tables_number 194
_symmetry_space_group_name_Hall '-P 6c 2c'
_cell_length_a 4.4422
_cell_length_b 4.4422
_cell_length_c 14.3272
_cell_angle_alpha 90.00
_cell_angle_beta 90.00
_cell_angle_gamma 120.00
loop_
_atom_site_label
_atom_site_type_symbol
_atom_site_fract_x
_atom_site_fract_y
_atom_site_fract_z
_atom_site_occupancy
Er1 Er 0.3333 0.6667 0.2500 1
Be1 Be 0.0000 0.0000 0.0000 1
Be2 Be 0.0000 0.0000 0.2500 1
Be3 Be 0.1698 0.3396 0.6174 1
Be4 Be 0.3333 0.6667 0.7500 1
Ir1 Ir 0.3333 0.6667 0.0413 1
```



No. 8
Material: Er2Be4IrPt3
Method: DFT, PBE-GGA
State: relaxed

Summary:
ΔE_f: -8.88 eV per formula unit
DOS at the Fermi energy: 5.28 states/eV/cell

CIF file:
```
data_Er2Be4IrPt3
_chemical_formula_sum 'Er2 Be4 Ir1 Pt3'
_symmetry_space_group_name_H-M 'P -4 m 2'
_symmetry_Int_Tables_number 115
_symmetry_space_group_name_Hall 'P -4 -2'
_cell_length_a 4.020
_cell_length_b 4.020
_cell_length_c 9.309
_cell_angle_alpha 90.00
_cell_angle_beta 90.00
_cell_angle_gamma 90.00
loop_
_atom_site_label
_atom_site_type_symbol
_atom_site_fract_x
_atom_site_fract_y
_atom_site_fract_z
_atom_site_occupancy
Er1 Er 0.000 0.500 0.244 1
Be1 Be 0.000 0.000 0.500 1
Be2 Be 0.000 0.500 0.876 1
Be3 Be 0.500 0.500 0.500 1
Ir1 Ir 0.500 0.500 0.000 1
Pt1 Pt 0.000 0.000 0.000 1
Pt2 Pt 0.000 0.500 0.626 1
```